# PBE+U Rb3Cd2CoF9, relaxed
# * uncorrected energy: -4.171 eV/atom
# * density of states at the Fermi level: 0.470 states/eV per atom
# * magnetic moment: 0.20 μB/atom
# * crystal system: trigonal
data_Rb3Cd2CoF9
_chemical_formula_sum 'Rb3 Cd2 Co1 F9'
_space_group_name_H-M_alt 'P 1'
_space_group_IT_number 1
_cell_length_a 6.201
_cell_length_b 6.201
_cell_length_c 7.595
_cell_angle_alpha 90.00
_cell_angle_beta 90.00
_cell_angle_gamma 120.00
loop_
_space_group_symop_operation_xyz
'x,y,z'
loop_
_atom_site_label
_atom_site_type_symbol
_atom_site_fract_x
_atom_site_fract_y
_atom_site_fract_z
_atom_site_occupancy
Rb1 Rb 0.333 0.667 0.668 1
Rb2 Rb 0.000 0.000 0.000 1
Rb3 Rb 0.667 0.333 0.332 1
Cd1 Cd 0.333 0.667 0.179 1
Cd2 Cd 0.667 0.333 0.821 1
Co1 Co 0.000 0.000 0.500 1
F1 F 0.841 0.159 0.656 1
F2 F 0.841 0.683 0.656 1
F3 F 0.317 0.159 0.656 1
F4 F 0.683 0.841 0.344 1
F5 F 0.159 0.317 0.344 1
F6 F 0.159 0.841 0.344 1
F7 F 0.500 0.000 0.000 1
F8 F 0.000 0.500 0.000 1
F9 F 0.500 0.500 0.000 1